Material: ReGeOF2
Method: DFT, PBE
State: optimized geometry

Computed properties:
Density of states at the Fermi level (states/eV/f.u.): 2.914
Polymorph energy (0 for the lowest one) (meV/atom): 0.0
Electronic total energy (Ry/atom): -0.4283
Crystal system: tetragonal
Theoretical density (Mg/m³): 7.3
Symmetry: P4/mmm
M_tot (μB per formula unit): 0.00

Lattice parameters (Å, degrees): 4.335 4.335 3.787 90.00 90.00 90.00
Sites, in units of the cell vectors:
Re (0.000, 0.000, 0.000)
Ge (0.500, 0.500, 0.500)
O (0.000, 0.000, 0.500)
F (0.000, 0.500, 0.000)
F (0.500, 0.000, 0.000)